# La2NdMg3Tl2In

A geometry-optimized La2NdMg3Tl2In structure (PBE, OQMD via LeMat-Bulk).

Structure (extended XYZ):
```
9
Lattice="4.822 0.000 0.000 0.000 6.730 3.909 0.000 -6.730 3.909" Properties=species:S:1:pos:R:3 pbc="T T T"
In 0.000 0.000 7.790
La 0.000 2.898 1.685
La 0.000 -2.898 1.685
Mg 2.411 0.000 1.881
Mg 2.411 1.609 6.873
Mg 2.411 -1.609 6.873
Nd 0.000 0.000 4.479
Tl 2.411 2.212 3.911
Tl 2.411 -2.212 3.911
```

## Properties
- Electronic total energy: -3.360 eV/atom
- Crystal system: orthorhombic
- Space-group type: Amm2

# Mo4AsSN2

A geometry-optimized Mo4AsSN2 structure (PBE, OQMD via LeMat-Bulk).

Structure (extended XYZ):
```
8
Lattice="-1.647 2.477 -0.405 -1.345 -2.671 0.260 -0.728 1.611 12.802" Properties=species:S:1:pos:R:3 pbc="T T T"
As -1.810 -0.150 6.439
Mo -1.547 -0.731 1.816
Mo -1.799 1.321 4.264
Mo -2.021 1.812 8.170
Mo -2.073 0.432 11.062
N -0.178 0.394 3.133
N -0.550 1.217 9.669
S -1.546 0.761 -0.184
```

## Properties
- Electronic total energy: -8.642 eV/atom
- Crystal system: hexagonal
- Space-group type: P-6m2

# ZrSeBr7

A geometry-optimized ZrSeBr7 structure (PBE, OQMD via LeMat-Bulk).

Structure (extended XYZ):
```
18
Lattice="-2.156 -6.534 1.812 6.667 -2.293 -0.334 2.794 6.153 13.539" Properties=species:S:1:pos:R:3 pbc="T T T"
Br 0.973 -5.689 2.793
Br 5.368 -2.385 1.525
Br 0.731 -2.258 3.641
Br 3.854 -3.929 5.263
Br 1.529 1.586 4.520
Br 4.771 -0.472 6.312
Br 0.772 -1.330 7.543
Br 4.059 -3.194 9.478
Br 2.525 2.150 8.507
Br 6.429 -0.661 10.196
Br 3.100 -0.113 12.141
Br 8.241 2.834 11.024
Br 4.595 3.145 13.161
Br 7.315 -0.023 14.055
Se 3.585 -1.425 0.237
Se 4.398 1.852 7.036
Zr -0.503 -2.533 5.791
Zr 7.421 -1.701 12.235
```

## Properties
- Electronic total energy: -3.360 eV/atom
- Crystal system: monoclinic
- Space-group type: Pc

# PrBi2Ir2

A geometry-optimized PrBi2Ir2 structure (PBE, OQMD via LeMat-Bulk).

Structure (extended XYZ):
```
5
Lattice="3.798 -3.521 3.875 4.656 3.036 3.307 -6.335 0.736 -1.076" Properties=species:S:1:pos:R:3 pbc="T T T"
Bi 0.845 -1.514 3.195
Bi 1.274 1.765 2.911
Ir 3.269 -0.187 2.777
Ir 5.185 -0.297 4.404
Pr 0.000 0.000 0.000
```

## Properties
- Electronic total energy: -6.256 eV/atom
- Crystal system: tetragonal
- Space-group type: I4/mmm

# GdErAlCo2

A geometry-optimized GdErAlCo2 structure (PBE, OQMD via LeMat-Bulk).

Structure (extended XYZ):
```
5
Lattice="3.885 0.000 0.000 0.000 1.874 6.555 0.000 -1.874 6.555" Properties=species:S:1:pos:R:3 pbc="T T T"
Al 1.943 0.000 0.026
Co 1.943 0.000 2.596
Co 1.943 0.000 10.475
Er 0.000 0.000 8.317
Gd 0.000 0.000 4.804
```

## Properties
- Offset from the most stable computed form: 0.42 eV per formula unit
- Crystal system: orthorhombic
- Space-group type: Amm2

# RbIrOs

A geometry-optimized RbIrOs structure (PBE, OQMD via LeMat-Bulk).

Structure (extended XYZ):
```
3
Lattice="0.000 3.213 3.213 3.213 0.000 3.213 3.213 3.213 0.000" Properties=species:S:1:pos:R:3 pbc="T T T"
Ir 1.607 1.607 1.607
Os 0.000 0.000 0.000
Rb 4.820 4.820 4.820
```

## Properties
- Offset from the most stable computed form: 0.00 eV per formula unit
- Crystal system: cubic
- Space-group type: F-43m

# GdAlNiPd

A geometry-optimized GdAlNiPd structure (PBE, OQMD via LeMat-Bulk).

Structure (extended XYZ):
```
8
Lattice="-1.049 -1.483 -3.860 -1.214 -2.115 3.500 -7.772 4.862 0.244" Properties=species:S:1:pos:R:3 pbc="T T T"
Al 0.000 0.000 0.000
Al -3.886 2.431 0.122
Gd -3.008 -0.748 1.105
Gd -7.026 2.012 -1.221
Ni -1.582 -1.394 -1.391
Ni -8.452 2.658 1.275
Pd -4.360 0.343 -1.304
Pd -5.675 0.921 1.188
```

## Properties
- Offset from the most stable computed form: 0.00 eV per formula unit
- Crystal system: trigonal
- Space-group type: P-3m1

# HfInCuIr

A geometry-optimized HfInCuIr structure (PBE, OQMD via LeMat-Bulk).

Structure (extended XYZ):
```
4
Lattice="0.209 -4.533 -0.719 1.739 -2.761 3.235 -2.767 -2.827 2.338" Properties=species:S:1:pos:R:3 pbc="T T T"
Cu -0.614 -7.590 3.640
Hf -0.205 -2.530 1.213
In 0.000 0.000 0.000
Ir -0.409 -5.060 2.427
```

## Properties
- Offset from the most stable computed form: 1.04 eV per formula unit
- Crystal system: cubic
- Space-group type: F-43m

# GdY2Fe9

A geometry-optimized GdY2Fe9 structure (PBE, OQMD via LeMat-Bulk).

Structure (extended XYZ):
```
12
Lattice="2.538 1.465 8.055 -2.538 1.465 8.055 0.000 -2.931 8.055" Properties=species:S:1:pos:R:3 pbc="T T T"
Fe 0.000 1.460 10.015
Fe 0.000 0.000 8.037
Fe 1.265 0.730 14.151
Fe -1.265 0.730 14.151
Fe 0.000 0.000 12.083
Fe 1.265 -0.730 10.015
Fe -1.265 -0.730 10.015
Fe 0.000 0.000 16.129
Fe 0.000 -1.460 14.151
Gd 0.000 0.000 0.000
Y 0.000 0.000 3.430
Y 0.000 0.000 20.735
```

## Properties
- Formation energy from the elements: -0.053 eV per atom
- Crystal system: trigonal
- Space-group type: R-3m

# ZnHgTeO

A geometry-optimized ZnHgTeO structure (PBE, OQMD via LeMat-Bulk).

Structure (extended XYZ):
```
8
Lattice="3.300 0.000 0.000 -1.650 2.858 0.000 0.000 0.000 16.441" Properties=species:S:1:pos:R:3 pbc="T T T"
Hg 0.000 0.000 7.590
Hg 0.000 0.000 15.811
O 0.000 0.000 5.099
O 0.000 0.000 13.320
Te 1.650 0.953 2.165
Te 0.000 1.905 10.386
Zn 0.000 1.905 4.672
Zn 1.650 0.953 12.893
```

## Properties
- Offset from the most stable computed form: 0.78 eV per formula unit
- Crystal system: hexagonal
- Space-group type: P6_3mc

# La4Mg3Fe2

A geometry-optimized La4Mg3Fe2 structure (PBE, OQMD via LeMat-Bulk).

Structure (extended XYZ):
```
9
Lattice="-5.237 1.503 5.408 1.444 -2.985 2.228 7.017 4.420 1.375" Properties=species:S:1:pos:R:3 pbc="T T T"
Fe -0.060 0.638 0.893
Fe 1.840 5.285 5.890
La -2.633 0.683 6.204
La 0.556 0.318 3.648
La 2.669 2.620 5.364
La 5.858 2.255 2.808
Mg -2.618 0.752 2.704
Mg 2.406 2.520 1.818
Mg -0.625 3.403 4.966
```

## Properties
- Electronic total energy: -4.571 eV/atom
- Crystal system: monoclinic
- Space-group type: P2/m

# ErPbO3

A geometry-optimized ErPbO3 structure (PBE, OQMD via LeMat-Bulk).

Structure (extended XYZ):
```
20
Lattice="5.766 0.000 0.000 0.000 6.019 0.000 0.000 0.000 8.405" Properties=species:S:1:pos:R:3 pbc="T T T"
Er 2.883 0.000 0.000
Er 0.000 3.010 0.000
Er 2.883 0.000 4.202
Er 0.000 3.010 4.202
O 3.902 1.906 0.583
O 4.747 4.916 0.583
O 0.808 2.578 2.101
O 2.075 5.588 2.101
O 3.902 1.906 3.619
O 4.747 4.916 3.619
O 1.019 1.103 4.785
O 1.864 4.113 4.785
O 3.690 0.431 6.304
O 4.958 3.441 6.304
O 1.019 1.103 7.822
O 1.864 4.113 7.822
Pb 5.695 0.277 2.101
Pb 2.954 3.287 2.101
Pb 2.812 2.732 6.304
Pb 0.071 5.742 6.304
```

## Properties
- Electronic total energy: -6.813 eV/atom
- Crystal system: orthorhombic
- Space-group type: Pnma

# CsPrBe

A geometry-optimized CsPrBe structure (PBE, OQMD via LeMat-Bulk).

Structure (extended XYZ):
```
3
Lattice="-5.151 0.969 -0.214 -3.202 -2.020 3.630 -2.230 3.134 3.567" Properties=species:S:1:pos:R:3 pbc="T T T"
Be -2.646 0.521 1.746
Cs -7.937 1.562 5.237
Pr 0.000 0.000 0.000
```

## Properties
- Electronic total energy: -1.886 eV/atom
- Crystal system: cubic
- Space-group type: F-43m

# LuCdCuAs

A geometry-optimized LuCdCuAs structure (PBE, OQMD via LeMat-Bulk).

Structure (extended XYZ):
```
4
Lattice="0.000 3.420 3.420 3.420 0.000 3.420 3.420 3.420 0.000" Properties=species:S:1:pos:R:3 pbc="T T T"
As 0.000 0.000 0.000
Cd 1.710 1.710 1.710
Cu 5.130 5.130 5.130
Lu 3.420 3.420 3.420
```

## Properties
- Offset from the most stable computed form: 0.44 eV per formula unit
- Crystal system: cubic
- Space-group type: F-43m

# Hf3CuPb5

A geometry-optimized Hf3CuPb5 structure (PBE, OQMD via LeMat-Bulk).

Structure (extended XYZ):
```
9
Lattice="-0.182 -1.851 -5.737 -4.163 -1.917 3.921 -4.736 6.381 -1.908" Properties=species:S:1:pos:R:3 pbc="T T T"
Cu 0.000 0.000 0.000
Hf -2.459 2.265 -3.823
Hf -4.449 2.232 1.006
Hf -4.541 1.306 -1.862
Pb -2.376 -0.705 -2.867
Pb -3.703 -0.728 0.352
Pb -2.368 3.190 -0.954
Pb -5.378 3.340 -4.077
Pb -6.705 3.318 -0.857
```

## Properties
- Electronic total energy: -5.368 eV/atom
- Crystal system: hexagonal
- Space-group type: P6/mmm

# LaNdB2Pd8

A geometry-optimized LaNdB2Pd8 structure (PBE, OQMD via LeMat-Bulk).

Structure (extended XYZ):
```
12
Lattice="-4.177 -2.634 -2.427 1.374 -1.213 5.188 -4.864 5.369 2.544" Properties=species:S:1:pos:R:3 pbc="T T T"
B -2.326 -2.160 0.111
B -0.476 -1.687 2.649
La 0.000 0.000 0.000
Nd -2.432 2.685 1.272
Pd -3.044 -0.262 -0.714
Pd -0.269 0.448 3.094
Pd -2.357 -0.869 1.880
Pd -4.758 0.524 1.383
Pd -2.908 0.998 3.921
Pd -5.997 2.998 0.831
Pd -3.221 3.708 4.638
Pd -5.310 2.391 3.424
```

## Properties
- Offset from the most stable computed form: 0.20 eV per formula unit
- Crystal system: hexagonal
- Space-group type: P6/mmm

# SbW2N

A geometry-optimized SbW2N structure (PBE, OQMD via LeMat-Bulk).

Structure (extended XYZ):
```
24
Lattice="4.928 -2.799 0.000 4.928 2.799 0.000 -3.487 0.000 13.268" Properties=species:S:1:pos:R:3 pbc="T T T"
N 2.464 -1.400 0.000
N 5.310 -1.139 0.430
N 2.802 -1.139 6.204
N 0.720 1.400 6.634
N 3.566 1.139 7.064
N 1.059 1.139 12.838
Sb 5.719 0.660 3.156
Sb 4.056 -2.122 3.317
Sb 2.393 0.660 3.478
Sb 3.976 -0.660 9.790
Sb 2.312 2.122 9.951
Sb 0.649 -0.660 10.112
W 0.756 -0.381 0.959
W 7.263 -0.462 1.139
W 3.663 -0.038 1.218
W 4.449 -0.038 5.416
W 0.849 -0.462 5.495
W 7.356 -0.381 5.675
W -0.988 0.381 7.593
W 5.519 0.462 7.773
W 1.919 0.038 7.852
W 2.706 0.038 12.050
W -0.894 0.462 12.129
W 5.612 0.381 12.309
```

## Properties
- Offset from the most stable computed form: 0.00 eV per formula unit
- Crystal system: monoclinic
- Space-group type: C2/c

# NdGa4Ni

A geometry-optimized NdGa4Ni structure (PBE, OQMD via LeMat-Bulk).

Structure (extended XYZ):
```
12
Lattice="2.085 -7.882 0.000 2.085 7.882 0.000 0.000 0.000 6.624" Properties=species:S:1:pos:R:3 pbc="T T T"
Ga 2.085 0.000 0.000
Ga 2.085 -2.978 0.349
Ga 2.085 6.692 1.656
Ga 2.085 -2.978 2.963
Ga 2.085 0.000 3.312
Ga 2.085 2.978 3.661
Ga 2.085 -6.692 4.968
Ga 2.085 2.978 6.275
Nd 2.085 -6.089 1.656
Nd 2.085 6.089 4.968
Ni 2.085 4.344 1.656
Ni 2.085 -4.344 4.968
```

## Properties
- Electronic total energy: -4.293 eV/atom
- Crystal system: orthorhombic
- Space-group type: Cmcm

# LaPrBe2Si2

A geometry-optimized LaPrBe2Si2 structure (PBE, OQMD via LeMat-Bulk).

Structure (extended XYZ):
```
6
Lattice="-1.403 -2.466 2.798 3.931 0.487 -0.437 -0.181 6.570 5.698" Properties=species:S:1:pos:R:3 pbc="T T T"
Be 0.330 0.139 3.125
Be 2.016 4.452 4.935
La -0.091 3.285 2.849
Pr 0.000 0.000 0.000
Si 2.108 1.123 2.047
Si 0.238 3.469 6.013
```

## Properties
- Electronic total energy: -5.243 eV/atom
- Crystal system: trigonal
- Space-group type: P-3m1

# LaPr2NdSe3O4

A geometry-optimized LaPr2NdSe3O4 structure (PBE, OQMD via LeMat-Bulk).

Structure (extended XYZ):
```
11
Lattice="8.501 0.000 0.000 0.000 2.027 6.510 0.000 -2.027 6.510" Properties=species:S:1:pos:R:3 pbc="T T T"
La 4.250 0.000 0.221
Nd 0.000 0.000 0.022
O 2.059 0.000 1.149
O 6.442 0.000 1.149
O 0.000 0.000 7.653
O 4.250 0.000 8.029
Pr 2.006 0.000 8.924
Pr 6.495 0.000 8.924
Se 0.000 0.000 4.100
Se 2.986 0.000 4.620
Se 5.515 0.000 4.620
```

## Properties
- Offset from the most stable computed form: 0.04 eV per formula unit
- Crystal system: orthorhombic
- Space-group type: Amm2

# ZnCuSiAu

A geometry-optimized ZnCuSiAu structure (PBE, OQMD via LeMat-Bulk).

Structure (extended XYZ):
```
4
Lattice="0.904 -1.769 3.947 -2.816 0.544 3.362 -2.364 -3.428 1.478" Properties=species:S:1:pos:R:3 pbc="T T T"
Au -2.139 -2.327 4.394
Cu -3.208 -3.490 6.591
Si 0.000 0.000 0.000
Zn -1.069 -1.163 2.197
```

## Properties
- Offset from the most stable computed form: 0.13 eV per formula unit
- Crystal system: cubic
- Space-group type: F-43m

# NdDy2Te3

A geometry-optimized NdDy2Te3 structure (PBE, OQMD via LeMat-Bulk).

Structure (extended XYZ):
```
6
Lattice="4.381 0.000 0.000 -2.190 3.794 0.000 0.000 0.000 10.862" Properties=species:S:1:pos:R:3 pbc="T T T"
Dy 2.190 1.265 3.666
Dy 0.000 2.529 7.196
Nd 0.000 0.000 0.000
Te 0.000 2.529 1.932
Te 0.000 0.000 5.431
Te 2.190 1.265 8.930
```

## Properties
- Electronic total energy: -5.228 eV/atom
- Crystal system: trigonal
- Space-group type: P-3m1

# LaDySn2

A geometry-optimized LaDySn2 structure (PBE, OQMD via LeMat-Bulk).

Structure (extended XYZ):
```
4
Lattice="-2.246 0.440 2.464 -3.000 -6.090 -1.647 1.691 -6.235 2.656" Properties=species:S:1:pos:R:3 pbc="T T T"
Dy -0.842 -7.933 0.650
La -0.475 -4.475 0.366
Sn -0.144 -1.358 0.111
Sn -1.156 -10.884 0.891
```

## Properties
- Electronic total energy: -4.342 eV/atom
- Crystal system: orthorhombic
- Space-group type: Amm2

# Li4ZnGa2Co

A geometry-optimized Li4ZnGa2Co structure (PBE, OQMD via LeMat-Bulk).

Structure (extended XYZ):
```
8
Lattice="4.220 0.000 0.000 0.000 4.220 0.000 0.000 0.000 6.046" Properties=species:S:1:pos:R:3 pbc="T T T"
Co 0.000 0.000 0.000
Ga 2.110 0.000 1.355
Ga 0.000 2.110 4.691
Li 2.110 2.110 0.000
Li 0.000 2.110 1.464
Li 0.000 0.000 3.023
Li 2.110 0.000 4.582
Zn 2.110 2.110 3.023
```

## Properties
- Electronic total energy: -2.971 eV/atom
- Crystal system: tetragonal
- Space-group type: P-4m2